DFT (PBE-GGA) results for crystalline LaSnPd4 at its relaxed geometry.

## Properties
Symmetry = C2/m, No. 12
Total moment = 0.00 μB per formula unit
Polymorph energy (0 for the lowest one) = 0.0 kJ/mol of atoms
Calculated total energy = -5.589 eV/atom
Density of states at the Fermi level = 5.48 states/eV/cell

Cell: 6.6123 6.3153 6.6123 Å, 78.30 67.23 78.30°
Positions (direct):
La 0.1693 0.2414 0.1693
La 0.8307 0.7586 0.8307
Sn 0.4248 0.7912 0.4248
Sn 0.5752 0.2088 0.5752
Pd 0.1918 0.7519 0.1918
Pd 0.8186 0.5642 0.4263
Pd 0.7919 0.0000 0.2081
Pd 0.5737 0.4358 0.1814
Pd 0.8082 0.2481 0.8082
Pd 0.1814 0.4358 0.5737
Pd 0.2081 0.0000 0.7919
Pd 0.4263 0.5642 0.8186


DFT (PBE-GGA) results for crystalline LaSnPd at its relaxed geometry.

## Properties
Symmetry = P-62m, No. 189
Total moment = 0.00 μB per formula unit
Calculated total energy = -5.655 eV/atom
Density of states at the Fermi level = 2.09 states/eV/cell

Cell: 7.7124 7.7124 4.2314 Å, 90.00 90.00 120.00°
Positions (direct):
La 0.0000 0.5845 0.0000
La 0.4155 0.4155 0.0000
La 0.5845 0.0000 0.0000
Sn 0.7522 0.7522 0.5000
Sn 0.0000 0.2478 0.5000
Sn 0.2478 0.0000 0.5000
Pd 0.6667 0.3333 0.5000
Pd 0.0000 0.0000 0.0000
Pd 0.3333 0.6667 0.5000


DFT (PBE-GGA) results for crystalline La3Sn8Pd3 at its relaxed geometry.

## Properties
Symmetry = C2/m, No. 12
Total moment = 0.00 μB per formula unit
Calculated total energy = -5.067 eV/atom
Density of states at the Fermi level = 7.20 states/eV/cell

Cell: 4.9952 9.1191 8.8054 Å, 68.74 73.52 74.10°
Positions (direct):
La 0.2975 0.6873 0.7178
La 0.7025 0.3127 0.2822
La 0.0000 0.0000 0.0000
Sn 0.1382 0.1487 0.5748
Sn 0.8618 0.8513 0.4252
Sn 0.8527 0.4304 0.8643
Sn 0.1473 0.5696 0.1357
Sn 0.4963 0.6783 0.3292
Sn 0.5037 0.3217 0.6708
Sn 0.3474 0.0490 0.2561
Sn 0.6526 0.9510 0.7439
Pd 0.0000 0.5000 0.5000
Pd 0.6538 0.6858 0.0066
Pd 0.3462 0.3142 0.9934


DFT (PBE-GGA) results for crystalline La2Sn3Pd5 at its relaxed geometry.

## Properties
Symmetry = Ibam, No. 72
Total moment = 0.00 μB per formula unit
Polymorph energy (0 for the lowest one) = 0.0 kJ/mol of atoms
Calculated total energy = -5.546 eV/atom
Density of states at the Fermi level = 15.13 states/eV/cell

Cell: 6.3646 8.9716 8.9716 Å, 79.10 69.22 69.22°
Positions (direct):
La 0.1284 0.5982 0.1449
La 0.6284 0.1449 0.5982
La 0.8716 0.4018 0.8551
La 0.3716 0.8551 0.4018
Sn 0.3598 0.5297 0.7507
Sn 0.8598 0.7507 0.5297
Sn 0.6402 0.4703 0.2493
Sn 0.1402 0.2493 0.4703
Sn 0.2500 0.0000 0.0000
Sn 0.7500 0.0000 0.0000
Pd 0.3959 0.2678 0.9403
Pd 0.8959 0.9403 0.2678
Pd 0.6041 0.7322 0.0597
Pd 0.1041 0.0597 0.7322
Pd 0.4717 0.7783 0.7783
Pd 0.5283 0.2217 0.2217
Pd 0.7500 0.5000 0.5000
Pd 0.2500 0.5000 0.5000
Pd 0.0283 0.2217 0.2217
Pd 0.9717 0.7783 0.7783


DFT (PBE-GGA) results for crystalline La4SnPd12 at its relaxed geometry.

## Properties
Symmetry = Im-3m, No. 229
Total moment = 0.00 μB per formula unit
Calculated total energy = -5.887 eV/atom
Density of states at the Fermi level = 3.92 states/eV/cell

Cell: 7.5799 7.5799 7.5799 Å, 109.47 109.47 109.47°
Positions (direct):
La 0.0000 0.0000 0.5000
La 0.5000 0.0000 0.0000
La 0.5000 0.5000 0.5000
La 0.0000 0.5000 0.0000
Sn 0.0000 0.0000 0.0000
Pd 0.0000 0.3029 0.3029
Pd 0.0000 0.6971 0.6971
Pd 0.6971 0.6971 0.0000
Pd 0.3029 0.3029 0.0000
Pd 0.3029 0.0000 0.3029
Pd 0.6971 0.0000 0.6971
Pd 0.5000 0.2500 0.7500
Pd 0.5000 0.7500 0.2500
Pd 0.7500 0.2500 0.5000
Pd 0.2500 0.7500 0.5000
Pd 0.7500 0.5000 0.2500
Pd 0.2500 0.5000 0.7500


DFT (PBE-GGA) results for crystalline La3Sn3Pd2 at its relaxed geometry.

## Properties
Symmetry = Pnma, No. 62
Total moment = 0.00 μB per formula unit
Polymorph energy (0 for the lowest one) = 2.7 kJ/mol of atoms
Calculated total energy = -5.511 eV/atom
Density of states at the Fermi level = 24.27 states/eV/cell

Cell: 6.1516 8.6831 16.0060 Å, 90.00 90.00 90.00°
Positions (direct):
La 0.1252 0.4647 0.3911
La 0.6252 0.0353 0.6089
La 0.8748 0.5353 0.8911
La 0.3748 0.9647 0.1089
La 0.8748 0.5353 0.6089
La 0.3748 0.9647 0.3911
La 0.1252 0.4647 0.1089
La 0.6252 0.0353 0.8911
La 0.6286 0.3256 0.2500
La 0.1286 0.1744 0.7500
La 0.3714 0.6744 0.7500
La 0.8714 0.8256 0.2500
Sn 0.1181 0.1776 0.2500
Sn 0.6181 0.3224 0.7500
Sn 0.8819 0.8224 0.7500
Sn 0.3819 0.6776 0.2500
Sn 0.6111 0.3070 0.4625
Sn 0.1111 0.1930 0.5375
Sn 0.3889 0.6930 0.9625
Sn 0.8889 0.8070 0.0375
Sn 0.3889 0.6930 0.5375
Sn 0.8889 0.8070 0.4625
Sn 0.6111 0.3070 0.0375
Sn 0.1111 0.1930 0.9625
Pd 0.8780 0.0914 0.3912
Pd 0.3780 0.4086 0.6088
Pd 0.1220 0.9086 0.8912
Pd 0.6220 0.5914 0.1088
Pd 0.1220 0.9086 0.6088
Pd 0.6220 0.5914 0.3912
Pd 0.8780 0.0914 0.1088
Pd 0.3780 0.4086 0.8912


DFT (PBE-GGA) results for crystalline La2Sn3Pd5 at its relaxed geometry.

## Properties
Symmetry = Cmc2_1, No. 36
Total moment = 0.00 μB per formula unit
Polymorph energy (0 for the lowest one) = 1.4 kJ/mol of atoms
Calculated total energy = -5.531 eV/atom
Density of states at the Fermi level = 12.91 states/eV/cell

Cell: 4.5952 7.2177 13.2572 Å, 90.00 99.98 90.00°
Positions (direct):
La 0.4794 0.7169 0.9589
La 0.1795 0.7603 0.3589
La 0.8205 0.2603 0.6411
La 0.5206 0.2169 0.0411
Sn 0.7825 0.7428 0.5651
Sn 0.6075 0.5401 0.2151
Sn 0.0566 0.9063 0.1133
Sn 0.2175 0.2428 0.4349
Sn 0.9434 0.4063 0.8867
Sn 0.3925 0.0401 0.7849
Pd 0.3890 0.4508 0.7780
Pd 0.2815 0.5396 0.5631
Pd 0.7185 0.0396 0.4369
Pd 0.1152 0.2256 0.2303
Pd 0.2900 0.9583 0.5801
Pd 0.9533 0.0241 0.9066
Pd 0.7100 0.4583 0.4199
Pd 0.8848 0.7256 0.7697
Pd 0.0467 0.5241 0.0934
Pd 0.6110 0.9508 0.2220


DFT (PBE-GGA) results for crystalline La2SnPd4 at its relaxed geometry.

## Properties
Symmetry = I4/mmm, No. 139
Total moment = 0.00 μB per formula unit
Calculated total energy = -5.347 eV/atom
Density of states at the Fermi level = 2.90 states/eV/cell

Cell: 4.9968 4.9968 8.1743 Å, 72.20 72.20 90.00°
Positions (direct):
Sn 0.0000 0.0000 0.0000
Pd 0.1821 0.1821 0.6359
Pd 0.8179 0.8179 0.3641
Pd 0.0000 0.5000 0.0000
Pd 0.5000 0.0000 0.0000
La 0.3623 0.3623 0.2754
La 0.6377 0.6377 0.7246


DFT (PBE-GGA) results for crystalline LaSn4Pd15 at its relaxed geometry.

## Properties
Symmetry = P4/mmm, No. 123
Total moment = 0.00 μB per formula unit
Calculated total energy = -5.498 eV/atom
Density of states at the Fermi level = 2.41 states/eV/cell

Cell: 4.0902 4.0902 20.3025 Å, 90.00 90.00 90.00°
Positions (direct):
La 0.0000 0.0000 0.0000
Sn 0.0000 0.0000 0.2059
Sn 0.0000 0.0000 0.4020
Sn 0.0000 0.0000 0.5980
Sn 0.0000 0.0000 0.7941
Pd 0.5000 0.5000 0.0000
Pd 0.5000 0.5000 0.2060
Pd 0.5000 0.5000 0.4017
Pd 0.5000 0.5000 0.5983
Pd 0.5000 0.5000 0.7940
Pd 0.5000 0.0000 0.1086
Pd 0.5000 0.0000 0.3036
Pd 0.5000 0.0000 0.5000
Pd 0.5000 0.0000 0.6964
Pd 0.5000 0.0000 0.8914
Pd 0.0000 0.5000 0.1086
Pd 0.0000 0.5000 0.3036
Pd 0.0000 0.5000 0.5000
Pd 0.0000 0.5000 0.6964
Pd 0.0000 0.5000 0.8914


DFT (PBE-GGA) results for crystalline La2Sn7Pd12 at its relaxed geometry.

## Properties
Symmetry = P-3, No. 147
Total moment = 0.00 μB per formula unit
Calculated total energy = -5.410 eV/atom
Density of states at the Fermi level = 10.01 states/eV/cell

Cell: 4.1727 10.8222 10.8222 Å, 120.00 90.00 90.00°
Positions (direct):
La 0.2404 0.3333 0.6667
La 0.7596 0.6667 0.3333
Sn 0.5000 0.0000 0.0000
Sn 0.2606 0.8879 0.2917
Sn 0.2606 0.4037 0.1121
Sn 0.2606 0.7083 0.5963
Sn 0.7394 0.1121 0.7083
Sn 0.7394 0.5963 0.8879
Sn 0.7394 0.2917 0.4037
Pd 0.2443 0.6229 0.0623
Pd 0.2443 0.4394 0.3771
Pd 0.2443 0.9377 0.5606
Pd 0.7557 0.3771 0.9377
Pd 0.7557 0.5606 0.6229
Pd 0.7557 0.0623 0.4394
Pd 0.2348 0.1188 0.2592
Pd 0.2348 0.1404 0.8812
Pd 0.2348 0.7408 0.8596
Pd 0.7652 0.8812 0.7408
Pd 0.7652 0.8596 0.1188
Pd 0.7652 0.2592 0.1404


DFT (PBE-GGA) results for crystalline La3Sn3Pd2 at its relaxed geometry.

## Properties
Symmetry = Cmcm, No. 63
Total moment = 0.00 μB per formula unit
Polymorph energy (0 for the lowest one) = 0.0 kJ/mol of atoms
Calculated total energy = -5.539 eV/atom
Density of states at the Fermi level = 7.99 states/eV/cell

Cell: 4.7250 6.1301 15.9454 Å, 90.00 90.00 112.67°
Positions (direct):
La 0.9098 0.8197 0.3917
La 0.0902 0.1803 0.8917
La 0.9098 0.8197 0.1083
La 0.0902 0.1803 0.6083
La 0.6368 0.2736 0.2500
La 0.3632 0.7264 0.7500
Sn 0.6216 0.2432 0.4623
Sn 0.3784 0.7568 0.9623
Sn 0.6216 0.2432 0.0377
Sn 0.3784 0.7568 0.5377
Sn 0.3415 0.6829 0.2500
Sn 0.6585 0.3171 0.7500
Pd 0.7984 0.5968 0.8962
Pd 0.2016 0.4032 0.3962
Pd 0.7984 0.5968 0.6038
Pd 0.2016 0.4032 0.1038


DFT (PBE-GGA) results for crystalline LaSnPd4 at its relaxed geometry.

## Properties
Symmetry = P4_2/nmc, No. 137
Total moment = 0.00 μB per formula unit
Polymorph energy (0 for the lowest one) = 26.7 kJ/mol of atoms
Calculated total energy = -5.312 eV/atom
Density of states at the Fermi level = 7.99 states/eV/cell

Cell: 5.4671 5.4671 9.0793 Å, 90.00 90.00 90.00°
Positions (direct):
La 0.0000 0.0000 0.5000
La 0.5000 0.5000 0.0000
Sn 0.0000 0.0000 0.0000
Sn 0.5000 0.5000 0.5000
Pd 0.2642 0.0000 0.2377
Pd 0.7358 0.0000 0.2377
Pd 0.0000 0.7358 0.7623
Pd 0.0000 0.2642 0.7623
Pd 0.5000 0.2358 0.7377
Pd 0.7642 0.5000 0.2623
Pd 0.2358 0.5000 0.2623
Pd 0.5000 0.7642 0.7377


DFT (PBE-GGA) results for crystalline LaSn2Pd2 at its relaxed geometry.

## Properties
Symmetry = P4/mbm, No. 127
Total moment = 0.13 μB per formula unit
Calculated total energy = -5.238 eV/atom
Density of states at the Fermi level = 5.61 states/eV/cell

Cell: 8.1624 8.1624 3.2997 Å, 90.00 90.00 90.00°
Each line ends with the local moment (μB).
Positions (direct):
Sn 0.1633 0.6633 0.5000  0.00
Sn 0.6633 0.8367 0.5000  0.00
Sn 0.8367 0.3367 0.5000  0.00
Sn 0.3367 0.1633 0.5000  0.00
Pd 0.3758 0.8758 0.0000  0.00
Pd 0.8758 0.6242 0.0000  0.00
Pd 0.6242 0.1242 0.0000  0.00
Pd 0.1242 0.3758 0.0000  0.00
La 0.0000 0.0000 0.0000  0.07
La 0.5000 0.5000 0.0000  0.07


DFT (PBE-GGA) results for crystalline LaSn2Pd4 at its relaxed geometry.

## Properties
Symmetry = P4_2/mnm, No. 136
Total moment = 0.00 μB per formula unit
Polymorph energy (0 for the lowest one) = 4.6 kJ/mol of atoms
Calculated total energy = -5.479 eV/atom
Density of states at the Fermi level = 10.52 states/eV/cell

Cell: 4.2852 8.1443 8.1443 Å, 90.00 90.00 90.00°
Positions (direct):
La 0.5000 0.0000 0.0000
La 0.0000 0.5000 0.5000
Sn 0.0000 0.2176 0.7824
Sn 0.0000 0.7824 0.2176
Sn 0.5000 0.7176 0.7176
Sn 0.5000 0.2824 0.2824
Pd 0.0000 0.0918 0.3487
Pd 0.0000 0.9082 0.6513
Pd 0.5000 0.1513 0.5918
Pd 0.5000 0.8487 0.4082
Pd 0.5000 0.4082 0.8487
Pd 0.5000 0.5918 0.1513
Pd 0.0000 0.3487 0.0918
Pd 0.0000 0.6513 0.9082


DFT (PBE-GGA) results for crystalline La2Sn3Pd at its relaxed geometry.

## Properties
Symmetry = Cm, No. 8
Total moment = 0.00 μB per formula unit
Polymorph energy (0 for the lowest one) = 0.0 kJ/mol of atoms
Calculated total energy = -5.280 eV/atom
Density of states at the Fermi level = 3.74 states/eV/cell

Cell: 4.7847 6.3131 6.2935 Å, 74.52 67.66 67.73°
Positions (direct):
La 0.5502 0.1848 0.7147
La 0.4366 0.8153 0.3115
Sn 0.8723 0.5950 0.6605
Sn 0.8105 0.2448 0.1342
Sn 0.1604 0.7690 0.9101
Pd 0.1699 0.3912 0.2689


DFT (PBE-GGA) results for crystalline LaSnPd at its relaxed geometry.

## Properties
Symmetry = P-6m2, No. 187
Total moment = 0.00 μB per formula unit
Calculated total energy = -5.620 eV/atom
Density of states at the Fermi level = 0.69 states/eV/cell

Cell: 3.8119 4.7839 4.7839 Å, 120.00 90.00 90.00°
Positions (direct):
Sn 0.1665 0.3333 0.6667
Pd 0.1670 0.0000 0.0000
La 0.6665 0.6667 0.3333


DFT (PBE-GGA) results for crystalline La3Sn4Pd2 at its relaxed geometry.

## Properties
Symmetry = C2/m, No. 12
Total moment = 0.00 μB per formula unit
Polymorph energy (0 for the lowest one) = 1.8 kJ/mol of atoms
Calculated total energy = -5.395 eV/atom
Density of states at the Fermi level = 5.30 states/eV/cell

Cell: 4.7598 6.3686 9.0680 Å, 104.46 90.00 111.94°
Positions (direct):
La 0.6628 0.3256 0.6561
La 0.0000 0.0000 0.0000
La 0.3372 0.6744 0.3439
Sn 0.7284 0.4568 0.0797
Sn 0.2716 0.5432 0.9203
Sn 0.9384 0.8767 0.6160
Sn 0.0616 0.1233 0.3840
Pd 0.5953 0.1905 0.2732
Pd 0.4047 0.8095 0.7268


DFT (PBE-GGA) results for crystalline La4Sn8Pd at its relaxed geometry.

## Properties
Symmetry = Pmm2, No. 25
Total moment = 0.00 μB per formula unit
Calculated total energy = -5.078 eV/atom
Density of states at the Fermi level = 6.97 states/eV/cell

Cell: 4.5333 4.6242 17.6504 Å, 90.00 90.00 90.00°
Positions (direct):
La 0.0000 0.0000 0.0961
La 0.0000 0.5000 0.6077
La 0.5000 0.5000 0.3967
La 0.5000 0.0000 0.8972
Sn 0.0000 0.0000 0.4629
Sn 0.0000 0.5000 0.9355
Sn 0.5000 0.5000 0.0494
Sn 0.5000 0.0000 0.5710
Sn 0.0000 0.5000 0.2341
Sn 0.0000 0.0000 0.7499
Sn 0.5000 0.0000 0.2328
Sn 0.5000 0.5000 0.7555
Pd 0.0000 0.0000 0.3141